A plane-wave DFT calculation with PBE was carried out for an optimized crystal structure of Pm4Bi5Se.

Values from the calculation:
Formation energy without anion corrections   -786 meV per atom
Magnetic moment   0.00 μB/f.u.

Cell: 4.5268 8.3414 9.4410 Å, 73.18 103.87 90.00°
Last column: nearest neighbours and their distance in Å.
Fractional coordinates of all 10 atoms:
Pm: 0.3446 0.9622 0.6892  1 Se 2.96, 2 Bi 3.24
Pm: 0.0434 0.7471 0.0868  2 Se 3.03, 4 Bi 3.16-3.35
Pm: 0.6554 0.0378 0.3108  1 Se 2.96, 2 Bi 3.24
Pm: 0.9566 0.2529 0.9132  2 Se 3.03, 4 Bi 3.16-3.35
Bi: 0.8609 0.6629 0.7219  4 Pm 3.32-3.62, 4 Bi 3.38-3.41
Bi: 0.7845 0.2493 0.5691  4 Pm 3.16-3.35, 2 Bi 3.41
Bi: 0.2155 0.7507 0.4309  4 Pm 3.16-3.35, 2 Bi 3.41
Bi: 0.5000 0.5000 0.0000  4 Pm 3.31, 4 Bi 3.38
Bi: 0.1391 0.3371 0.2781  4 Pm 3.32-3.62, 4 Bi 3.38-3.41
Se: 0.5000 0.0000 0.0000  6 Pm 2.96-3.03


A plane-wave DFT calculation with PBE was carried out for an optimized crystal structure of TbNd4Tl3.

Values from the calculation:
ΔH_f (0 K)   -0.271 eV/atom
Magnetic moment   0.00 μB/f.u.
Excess energy over the best structure of this formula in the dataset   0.0 meV/atom

Cell: 3.8309 5.5401 14.4845 Å, 54.52 97.60 90.00°
Last column: nearest neighbours and their distance in Å.
Fractional coordinates of all 8 atoms:
Tb: 0.5000 0.0000 0.0000  8 Tl 3.28-3.37
Nd: 0.3766 0.8623 0.7531  6 Tl 3.37-3.45, 2 Nd 3.74-3.76
Nd: 0.6234 0.1377 0.2469  6 Tl 3.37-3.45, 2 Nd 3.74-3.76
Nd: 0.2681 0.6946 0.5362  2 Tl 3.34, 5 Nd 3.47-3.74
Nd: 0.7319 0.3054 0.4638  2 Tl 3.34, 5 Nd 3.47-3.74
Tl: 0.0000 0.5000 0.0000  4 Tb 3.37, 4 Nd 3.45
Tl: 0.8855 0.3334 0.7710  2 Tb 3.28, 6 Nd 3.34-3.38
Tl: 0.1145 0.6666 0.2290  2 Tb 3.28, 6 Nd 3.34-3.38


A plane-wave DFT calculation with PBE was carried out for an optimized crystal structure of La2TlP.

Values from the calculation:
ΔH_f (0 K)   -0.926 eV/atom
Magnetic moment   0.00 μB/f.u.
Excess energy over the best structure of this formula in the dataset   35.0 meV/atom

Cell: 4.1226 4.1226 8.8653 Å, 76.57 76.57 59.98°
Last column: nearest neighbours and their distance in Å.
Fractional coordinates of all 4 atoms:
La: 0.0660 0.0660 0.8017  3 P 2.91
La: 0.2667 0.2667 0.2001  3 P 2.94
Tl: 0.5000 0.5000 0.5002  6 La 3.50-3.51
P: 0.6673 0.6673 0.9980  6 La 2.91-2.94


A plane-wave DFT calculation with PBE was carried out for an optimized crystal structure of CaPm5Sn2.

Values from the calculation:
ΔH_f (0 K)   -0.292 eV/atom
Magnetic moment   0.00 μB/f.u.

Cell: 4.7114 7.9384 7.9384 Å, 78.01 72.74 72.74°
Last column: nearest neighbours and their distance in Å.
Fractional coordinates of all 8 atoms:
Ca: 0.0000 0.0000 0.0000  4 Sn 3.37
Pm: 0.0000 0.5000 0.5000  2 Sn 3.29, 8 Pm 3.49
Pm: 0.6595 0.5237 0.1574  3 Sn 3.22-3.33, 4 Pm 3.41-3.49
Pm: 0.3405 0.4763 0.8426  3 Sn 3.22-3.33, 4 Pm 3.41-3.49
Pm: 0.3405 0.8426 0.4763  3 Sn 3.22-3.33, 4 Pm 3.41-3.49
Pm: 0.6595 0.1574 0.5237  3 Sn 3.22-3.33, 4 Pm 3.41-3.49
Sn: 0.7111 0.7889 0.7889  7 Pm 3.22-3.33, 2 Ca 3.37
Sn: 0.2889 0.2111 0.2111  7 Pm 3.22-3.33, 2 Ca 3.37


A plane-wave DFT calculation with PBE was carried out for an optimized crystal structure of La2Pm12Tl.

Values from the calculation:
ΔH_f (0 K)   0.208 eV/atom
Magnetic moment   0.00 μB/f.u.

Cell: 6.7608 6.7608 23.7609 Å, 90.00 90.00 90.00°
Last column: nearest neighbours and their distance in Å.
Fractional coordinates of all 30 atoms:
La: 0.5000 0.0000 0.2473  8 Pm 3.57-3.91
La: 0.0000 0.5000 0.2473  8 Pm 3.57-3.91
La: 0.0000 0.5000 0.7527  8 Pm 3.57-3.91
La: 0.5000 0.0000 0.7527  8 Pm 3.57-3.91
Pm: 0.5000 0.5000 0.8004  1 Pm 3.09
Pm: 0.0000 0.0000 0.8004  1 Pm 3.09
Pm: 0.7540 0.7460 0.9080  2 Tl 3.21-3.27, 6 Pm 3.38-3.50
Pm: 0.2540 0.7540 0.9080  2 Tl 3.21-3.27, 6 Pm 3.38-3.50
Pm: 0.0000 0.0000 0.3296  1 Pm 3.09
Pm: 0.2460 0.7460 0.0920  2 Tl 3.21-3.27, 6 Pm 3.38-3.50
Pm: 0.8341 0.3341 0.5650  4 Pm 3.17-3.55
Pm: 0.5000 0.5000 0.3296  1 Pm 3.09
Pm: 0.2460 0.2540 0.9080  2 Tl 3.21-3.27, 6 Pm 3.38-3.50
Pm: 0.7460 0.7540 0.0920  2 Tl 3.21-3.27, 6 Pm 3.38-3.50
Pm: 0.3341 0.1659 0.5650  4 Pm 3.17-3.55
Pm: 0.6659 0.1659 0.4350  4 Pm 3.17-3.55
Pm: 0.0000 0.0000 0.6704  1 Pm 3.09
Pm: 0.1659 0.3341 0.4350  4 Pm 3.17-3.55
Pm: 0.2540 0.2460 0.0920  2 Tl 3.21-3.27, 6 Pm 3.38-3.50
Pm: 0.8341 0.6659 0.4350  4 Pm 3.17-3.55
Pm: 0.6659 0.8341 0.5650  4 Pm 3.17-3.55
Pm: 0.0000 0.0000 0.1996  1 Pm 3.09
Pm: 0.1659 0.6659 0.5650  4 Pm 3.17-3.55
Pm: 0.5000 0.5000 0.6704  1 Pm 3.09
Pm: 0.7460 0.2460 0.9080  2 Tl 3.21-3.27, 6 Pm 3.38-3.50
Pm: 0.5000 0.5000 0.1996  1 Pm 3.09
Pm: 0.3341 0.8341 0.4350  4 Pm 3.17-3.55
Pm: 0.7540 0.2540 0.0920  2 Tl 3.21-3.27, 6 Pm 3.38-3.50
Tl: 0.5000 0.0000 0.0000  8 Pm 3.21-3.27
Tl: 0.0000 0.5000 0.0000  8 Pm 3.21-3.27


A plane-wave DFT calculation with PBE was carried out for an optimized crystal structure of LiRe2PbO8.

Values from the calculation:
Formation energy without anion corrections   -1595 meV per atom
Magnetic moment   0.27 μB/f.u.

Cell: 5.4896 5.4896 7.4038 Å, 88.65 88.65 67.06°
Last column: nearest neighbours and their distance in Å.
Fractional coordinates of all 12 atoms:
Li: 0.0000 0.0000 0.0000  6 O 2.05-2.28
Re: 0.6427 0.6427 0.2249  4 O 1.75-1.79
Re: 0.3573 0.3573 0.7751  4 O 1.75-1.79
Pb: 0.0000 0.0000 0.5000  6 O 2.55-2.60
O: 0.7112 0.2253 0.7795  1 Re 1.79
O: 0.7786 0.7786 0.0538  1 Re 1.75
O: 0.7278 0.7278 0.4378  1 Re 1.78
O: 0.2722 0.2722 0.5622  1 Re 1.78
O: 0.2214 0.2214 0.9462  1 Re 1.75
O: 0.2253 0.7112 0.7795  1 Re 1.79
O: 0.7747 0.2888 0.2205  1 Re 1.79
O: 0.2888 0.7747 0.2205  1 Re 1.79


A plane-wave DFT calculation with PBE was carried out for an optimized crystal structure of LiCd2Se2.

Values from the calculation:
Formation energy without anion corrections   -490 meV per atom
Magnetic moment   0.00 μB/f.u.
Excess energy over the best structure of this formula in the dataset   0.0 meV/atom

Cell: 7.6304 7.6304 3.9867 Å, 90.00 90.00 90.00°
Last column: nearest neighbours and their distance in Å.
Fractional coordinates of all 10 atoms:
Li: 0.0000 0.0000 0.0000  4 Se 2.77
Li: 0.5000 0.5000 0.0000  4 Se 2.77
Se: 0.3082 0.8082 0.0000  2 Cd 2.76, 2 Li 2.77
Se: 0.8082 0.6918 0.0000  2 Cd 2.76, 2 Li 2.77
Se: 0.6918 0.1918 0.0000  2 Cd 2.76, 2 Li 2.77
Se: 0.1918 0.3082 0.0000  2 Cd 2.76, 2 Li 2.77
Cd: 0.1318 0.6318 0.5000  2 Se 2.76, 1 Cd 2.85
Cd: 0.6318 0.8682 0.5000  2 Se 2.76, 1 Cd 2.85
Cd: 0.8682 0.3682 0.5000  2 Se 2.76, 1 Cd 2.85
Cd: 0.3682 0.1318 0.5000  2 Se 2.76, 1 Cd 2.85


A plane-wave DFT calculation with PBE was carried out for an optimized crystal structure of Nb2RuRh5W.

Values from the calculation:
ΔH_f (0 K)   0.366 eV/atom
Magnetic moment   0.00 μB/f.u.

Cell: 6.6687 6.6687 8.1755 Å, 114.07 114.07 90.00°
Last column: nearest neighbours and their distance in Å.
Fractional coordinates of all 18 atoms:
Nb: 0.1344 0.3656 0.0000  4 Rh 2.46-2.60, 1 Nb 2.53
Nb: 0.6344 0.1344 0.0000  4 Rh 2.46-2.60, 1 Nb 2.53
Nb: 0.3656 0.8656 0.0000  4 Rh 2.46-2.60, 1 Nb 2.53
Nb: 0.8656 0.6344 0.0000  4 Rh 2.46-2.60, 1 Nb 2.53
Ru: 0.2500 0.7500 0.5000  4 Rh 2.43
Ru: 0.7500 0.2500 0.5000  4 Rh 2.43
Rh: 0.9342 0.4342 0.3016  1 Ru 2.43, 1 Nb 2.46, 2 W 2.72, 1 Rh 2.72
Rh: 0.6325 0.1326 0.6984  1 Ru 2.43, 1 Nb 2.46, 2 W 2.72, 1 Rh 2.72
Rh: 0.0658 0.5658 0.6984  1 Ru 2.43, 1 Nb 2.46, 2 W 2.72, 1 Rh 2.72
Rh: 0.1326 0.0658 0.6984  1 Ru 2.43, 1 Nb 2.46, 2 W 2.72, 1 Rh 2.72
Rh: 0.5658 0.6325 0.6984  1 Ru 2.43, 1 Nb 2.46, 2 W 2.72, 1 Rh 2.72
Rh: 0.8674 0.9342 0.3016  1 Ru 2.43, 1 Nb 2.46, 2 W 2.72, 1 Rh 2.72
Rh: 0.4342 0.3674 0.3016  1 Ru 2.43, 1 Nb 2.46, 2 W 2.72, 1 Rh 2.72
Rh: 0.3674 0.8674 0.3016  1 Ru 2.43, 1 Nb 2.46, 2 W 2.72, 1 Rh 2.72
Rh: 0.5000 0.5000 0.0000  4 Nb 2.60
Rh: 0.0000 0.0000 0.0000  4 Nb 2.60
W: 0.2500 0.2500 0.5000  8 Rh 2.72
W: 0.7500 0.7500 0.5000  8 Rh 2.72


A plane-wave DFT calculation with PBE was carried out for an optimized crystal structure of Cs2MgCuH6.

Values from the calculation:
E_tot   -2.791 eV/atom
Magnetic moment   0.40 μB/f.u.

Cell: 5.6229 5.6229 6.5904 Å, 64.74 64.74 90.00°
Last column: nearest neighbours and their distance in Å.
Fractional coordinates of all 10 atoms:
Cs: 0.7500 0.2500 0.5000  4 H 2.92
Cs: 0.2500 0.7500 0.5000  4 H 2.92
Mg: 0.0000 0.0000 0.0000  2 H 1.82
Cu: 0.5000 0.5000 0.0000  4 H 1.66
H: 0.1734 0.1734 0.6533  1 Mg 1.82
H: 0.7082 0.7082 0.0000  1 Cu 1.66
H: 0.2918 0.7082 0.0000  1 Cu 1.66
H: 0.7082 0.2918 0.0000  1 Cu 1.66
H: 0.2918 0.2918 0.0000  1 Cu 1.66
H: 0.8266 0.8266 0.3467  1 Mg 1.82


A plane-wave DFT calculation with PBE was carried out for an optimized crystal structure of AcPmN2.

Values from the calculation:
Formation energy without anion corrections   -1205 meV per atom
Magnetic moment   0.00 μB/f.u.
Excess energy over the best structure of this formula in the dataset   0.0 meV/atom

Cell: 3.7561 3.7561 6.5529 Å, 73.35 73.35 60.00°
Last column: nearest neighbours and their distance in Å.
Fractional coordinates of all 4 atoms:
Ac: 0.5000 0.5000 0.5000  6 N 2.72
N: 0.2551 0.2551 0.2347  3 Pm 2.61, 3 Ac 2.72
N: 0.7449 0.7449 0.7653  3 Pm 2.61, 3 Ac 2.72
Pm: 0.0000 0.0000 0.0000  6 N 2.61


A plane-wave DFT calculation with PBE was carried out for an optimized crystal structure of Ca2ScCu2.

Values from the calculation:
ΔH_f (0 K)   -0.062 eV/atom
Magnetic moment   0.00 μB/f.u.
Excess energy over the best structure of this formula in the dataset   0.0 meV/atom

Cell: 7.2919 7.2919 4.4449 Å, 90.00 90.00 90.00°
Last column: nearest neighbours and their distance in Å.
Fractional coordinates of all 10 atoms:
Sc: 0.0000 0.0000 0.0000  4 Cu 2.89
Sc: 0.5000 0.5000 0.0000  4 Cu 2.89
Ca: 0.1736 0.6736 0.5000  6 Cu 3.06-3.12
Ca: 0.6736 0.8264 0.5000  6 Cu 3.06-3.12
Ca: 0.8264 0.3264 0.5000  6 Cu 3.06-3.12
Ca: 0.3264 0.1736 0.5000  6 Cu 3.06-3.12
Cu: 0.3776 0.8776 0.0000  1 Cu 2.52
Cu: 0.8776 0.6224 0.0000  1 Cu 2.52
Cu: 0.6224 0.1224 0.0000  1 Cu 2.52
Cu: 0.1224 0.3776 0.0000  1 Cu 2.52


A plane-wave DFT calculation with PBE was carried out for an optimized crystal structure of CsTlSN2.

Values from the calculation:
Formation energy without anion corrections   2050 meV per atom
Magnetic moment   2.24 μB/f.u.

Cell: 4.4880 4.4880 6.9943 Å, 90.00 90.00 90.00°
Last column: nearest neighbours and their distance in Å.
Fractional coordinates of all 5 atoms:
Cs: 0.0000 0.0000 0.0000  4 N 2.24
Tl: 0.5000 0.5000 0.5000  4 S 3.17
S: 0.0000 0.0000 0.5000  4 Tl 3.17, 2 Cs 3.50
N: 0.0000 0.5000 0.0000  2 Cs 2.24
N: 0.5000 0.0000 0.0000  2 Cs 2.24